No. 1
BaCaZr2 | the Alexandria database | PBE-GGA | relaxed; energy above the most stable polymorph in this dataset = 77.1 meV/atom; M_tot = 0.000 μB/atom; theoretical density = 4686 kg/m³; DFT formation energy = 0.38 eV per atom
1.0
-6.3285 -1.9438 -10.2158
-6.8407 -5.0617 -8.7048
-8.9376 -2.3689 -7.9182
Ba Zr Ca
1 2 1
direct
0.5070 0.5070 0.5070
0.2609 0.2609 0.2609
0.9923 0.9923 0.9923
0.7398 0.7398 0.7398

---

No. 2
BaCaZr2 | the Alexandria database | PBE-GGA | relaxed; energy above the most stable polymorph in this dataset = 327.9 meV/atom; M_tot = 0.000 μB/atom; theoretical density = 4870 kg/m³; DFT formation energy = 0.63 eV per atom
1.0
-4.8055 2.4394 0.3994
-1.4542 -3.3635 3.0461
1.6236 2.6013 3.6474
Zr Ba Ca
2 1 1
direct
0.0000 0.0000 0.0000
0.0000 0.5000 0.5000
0.5000 0.5000 0.0000
0.5000 0.0000 0.5000

---

No. 3
BaCaZr | the Alexandria database | PBE-GGA | relaxed; energy above the most stable polymorph in this dataset = 32.6 meV/atom; M_tot = 0.001 μB/atom; theoretical density = 3861 kg/m³; DFT formation energy = 0.38 eV per atom
1.0
-0.2306 -9.2062 -0.5076
1.5335 0.1375 -3.3617
5.2413 -6.9542 4.0950
Zr Ca Ba
2 2 2
direct
0.4867 0.3200 0.5501
0.6035 0.6596 0.2301
0.1914 0.2705 0.4475
0.0381 0.9791 0.8605
0.9707 0.6741 0.2560
0.5849 0.9193 0.8607

---

No. 4
BaCaZr2 | the Alexandria database | PBE-GGA | relaxed; energy above the most stable polymorph in this dataset = 533.0 meV/atom; M_tot = 0.450 μB/atom; theoretical density = 4725 kg/m³; DFT formation energy = 0.84 eV per atom
1.0
0.0000 3.9839 3.9839
3.9839 0.0000 3.9839
3.9839 3.9839 0.0000
Ca Ba Zr
1 1 2
direct
0.0000 0.0000 0.0000
0.5000 0.5000 0.5000
0.7500 0.7500 0.7500
0.2500 0.2500 0.2500

---

No. 5
BaCaZr | the Alexandria database | PBE-GGA | relaxed; energy above the most stable polymorph in this dataset = 925.6 meV/atom; M_tot = 0.121 μB/atom; theoretical density = 3783 kg/m³; DFT formation energy = 1.27 eV per atom
1.0
5.5040 0.0000 0.0000
2.7520 4.7666 0.0000
2.7520 1.5889 4.4940
Zr Ca Ba
1 1 1
direct
0.5000 0.5000 0.5000
0.0000 0.0000 0.0000
0.7500 0.7500 0.7500

---

No. 6
BaCaZr2 | the Alexandria database | PBE-GGA | relaxed; energy above the most stable polymorph in this dataset = 0.0 meV/atom; M_tot = 0.000 μB/atom; theoretical density = 4514 kg/m³; DFT formation energy = 0.30 eV per atom
1.0
3.4113 0.0403 0.0000
-0.0626 3.4109 0.0000
0.0000 0.0000 11.3744
Ba Zr Ca
1 2 1
direct
0.0000 0.0000 0.4778
0.0000 0.0000 0.0318
0.5000 0.5000 0.2034
0.5000 0.5000 0.7870

---

Please write out number 1 again, unchanged.
BaCaZr2 | the Alexandria database | PBE-GGA | relaxed; energy above the most stable polymorph in this dataset = 77.1 meV/atom; M_tot = 0.000 μB/atom; theoretical density = 4686 kg/m³; DFT formation energy = 0.38 eV per atom
1.0
-6.3285 -1.9438 -10.2158
-6.8407 -5.0617 -8.7048
-8.9376 -2.3689 -7.9182
Ba Zr Ca
1 2 1
direct
0.5070 0.5070 0.5070
0.2609 0.2609 0.2609
0.9923 0.9923 0.9923
0.7398 0.7398 0.7398